A geometry-optimized BaLa2Pt structure. Source: Alexandria, functional GGA-PBE.

Unit cell a=6.640 b=6.640 c=6.640 alpha=139.77 beta=139.77 gamma=58.20
Fractional coordinates of all 4 atoms:
La: 0.250 0.750 0.500
La: 0.000 0.000 0.000
Ba: 0.750 0.250 0.500
Pt: 0.500 0.500 0.000

Output
Energy of formation from the pure elements   -0.1343 eV per atom
Calculated volume   30.2 Å³ per atom
Magnetic moment   0.0 μB per formula unit